1.
Sc2FePt PBE relaxed; uncorrected energy = -28.2 eV/cell; crystal system = trigonal; DFT formation energy = -1.03 eV per formula unit
1.0
1.6562 0.9562 7.6427
-1.6562 0.9562 7.6427
0.0000 -1.9124 7.6427
Sc Fe Pt
2 1 1
direct
0.2475 0.2475 0.2475
0.7525 0.7525 0.7525
0.5000 0.5000 0.5000
0.0000 0.0000 0.0000



2.
Cs2LiTm3F12 PBE relaxed; formation energy from raw total energies = -3.6993 eV/atom; uncorrected energy = -106.1 eV/cell; crystal system = trigonal
1.0
4.0402 2.3326 6.3582
-4.0402 2.3326 6.3582
0.0000 -4.6652 6.3582
Cs Li Tm F
2 1 3 12
direct
0.1447 0.1447 0.1447
0.8553 0.8553 0.8553
0.5000 0.5000 0.5000
0.0000 0.5000 0.5000
0.5000 0.0000 0.5000
0.5000 0.5000 0.0000
0.1803 0.1803 0.5610
0.1803 0.5610 0.1803
0.1812 0.5684 0.5684
0.4316 0.4316 0.8188
0.4316 0.8188 0.4316
0.4390 0.8197 0.8197
0.5610 0.1803 0.1803
0.5684 0.1812 0.5684
0.5684 0.5684 0.1812
0.8188 0.4316 0.4316
0.8197 0.4390 0.8197
0.8197 0.8197 0.4390



3.
TePIrPt PBE relaxed; formation energy from raw total energies = -0.1940 eV/atom; uncorrected energy = -24.2 eV/cell; energy above the lowest structure with this stoichiometry = 108 meV per atom; crystal system = monoclinic
1.0
3.3537 -1.7634 0.0000
3.3537 1.7634 0.0000
-3.3278 0.0000 6.4016
Te P Ir Pt
1 1 1 1
direct
0.0000 0.0000 0.0000
0.4056 0.4056 0.5507
0.1628 0.1628 0.7001
0.8145 0.8145 0.3019



4.
EuPuCuGe PBE relaxed; uncorrected energy = -34.2 eV/cell; crystal system = cubic; DFT formation energy = -0.87 eV per formula unit
1.0
0.0000 3.6015 3.6015
3.6015 0.0000 3.6015
3.6015 3.6015 0.0000
Eu Pu Cu Ge
1 1 1 1
direct
0.0000 0.0000 0.0000
0.5000 0.5000 0.5000
0.2500 0.2500 0.2500
0.7500 0.7500 0.7500



5.
Ta2OsPb PBE relaxed; uncorrected energy = -36.8 eV/cell; crystal system = tetragonal; DFT formation energy = 1.81 eV per formula unit
1.0
-2.0204 2.0204 4.4844
2.0204 -2.0204 4.4844
2.0204 2.0204 -4.4844
Ta Os Pb
2 1 1
direct
0.0000 0.0000 0.0000
0.7500 0.2500 0.5000
0.2500 0.7500 0.5000
0.5000 0.5000 0.0000



6.
PaFeS PBE relaxed; formation energy from raw total energies = -0.6223 eV/atom; uncorrected energy = -47.9 eV/cell; crystal system = monoclinic
1.0
3.6277 0.0000 0.0000
0.0000 4.8343 0.0000
-0.4999 0.0000 6.0949
Pa Fe S
2 2 2
direct
0.2311 0.2500 0.2834
0.7689 0.7500 0.7166
0.1103 0.7500 0.0181
0.8897 0.2500 0.9819
0.3266 0.2500 0.7386
0.6734 0.7500 0.2614



> Which formula does entry 4 have?

EuPuCuGe